1.
Below is an optimized crystal structure of CaUAu4, with properties calculated at the PBE level.

Structure (extended XYZ):
```
6
Lattice="5.689 0.000 0.000 2.845 4.927 0.000 2.845 1.642 4.645" Properties=species:S:1:pos:R:3 pbc="T T T"
Au 5.689 3.285 0.575
Au 5.689 1.637 2.905
Au 7.116 4.108 2.905
Au 4.263 4.108 2.905
Ca 0.000 0.000 0.000
U 2.845 1.642 1.161
```

Summary:
M_tot: 0.5475 μB/atom
uncorrected energy: -27.48 eV for the cell shown
space group: F-43m (216)
density of states at the Fermi level: 15.8 states/eV/f.u.
energy of formation from the pure elements: -0.180 eV/atom

=====

2.
Below is an optimized crystal structure of SiTcRuC, with properties calculated at the PBE level.

Structure (extended XYZ):
```
8
Lattice="-0.431 -0.473 4.061 -3.108 -2.654 -0.639 3.973 -4.624 -0.117" Properties=species:S:1:pos:R:3 pbc="T T T"
C -1.505 -1.384 -0.321
C 1.820 -2.606 1.970
Ru 2.118 -2.465 -0.062
Ru -1.638 -1.716 1.707
Si -0.240 -2.856 -0.358
Si 3.084 -4.078 1.933
Tc 0.167 -0.194 -0.005
Tc 0.384 -4.070 1.647
```

Summary:
M_tot: 0.0000 μB/atom
uncorrected energy: -67.13 eV for the cell shown
space group: Imm2 (44)
density of states at the Fermi level: 3.1 states/eV/f.u.
energy above the lowest structure with this stoichiometry: 0.204 eV/atom
E_form (uncorrected): 0.180 eV/atom

=====

3.
Below is an optimized crystal structure of DyPuSe2, with properties calculated at the PBE level.

Structure (extended XYZ):
```
4
Lattice="-3.564 -0.891 -1.509 -0.316 -1.191 -3.776 -0.460 -7.604 0.349" Properties=species:S:1:pos:R:3 pbc="T T T"
Dy -2.161 -4.918 -2.445
Pu -3.058 -8.906 -3.201
Se -0.670 -5.868 -0.181
Se -1.083 -2.440 -1.228
```

Summary:
M_tot: 1.3689 μB/atom
uncorrected energy: -32.23 eV for the cell shown
space group: R3m (160)
density of states at the Fermi level: 7.2 states/eV/f.u.
energy above the lowest structure with this stoichiometry: 0.087 eV/atom
E_form (uncorrected): -1.582 eV/atom

=====

4.
Below is an optimized crystal structure of PmP2Pt7Pb2, with properties calculated at the PBE level.

Structure (extended XYZ):
```
12
Lattice="-1.042 1.594 3.531 -0.470 -3.680 1.527 13.802 -1.113 6.869" Properties=species:S:1:pos:R:3 pbc="T T T"
Pm 0.000 0.000 0.000
P 9.652 -2.140 8.387
P 2.639 -1.059 3.539
Pt -0.756 -1.043 2.529
Pt 4.818 -1.070 4.191
Pt 7.472 -2.129 7.736
Pt 0.893 -0.255 4.939
Pt 1.179 -2.894 3.937
Pt 11.111 -0.305 7.990
Pt 11.398 -2.944 6.987
Pb 4.644 -2.115 6.890
Pb 7.646 -1.084 5.036
```

Summary:
M_tot: 0.0000 μB/atom
uncorrected energy: -72.22 eV for the cell shown
space group: C2/m (12)
density of states at the Fermi level: 3.4 states/eV/f.u.
energy of formation from the pure elements: -0.579 eV/atom

=====

5.
Below is an optimized crystal structure of ZrScCu2, with properties calculated at the PBE level.

Structure (extended XYZ):
```
8
Lattice="-1.726 3.621 -2.105 1.552 -1.684 -4.171 -5.603 -3.145 -0.815" Properties=species:S:1:pos:R:3 pbc="T T T"
Zr -2.524 -1.000 -4.524
Zr 0.412 -0.447 -1.106
Sc -2.385 -2.025 -1.527
Sc 0.272 0.578 -4.103
Cu -1.960 0.694 -2.074
Cu -4.761 -0.878 -2.481
Cu -2.955 -3.714 -3.965
Cu -0.152 -2.140 -3.557
```

Summary:
M_tot: 0.0000 μB/atom
uncorrected energy: -47.54 eV for the cell shown
space group: Pmmn (59)
density of states at the Fermi level: 4.1 states/eV/f.u.
energy of formation from the pure elements: -0.175 eV/atom
energy above the lowest structure with this stoichiometry: 0.006 eV/atom

=====

6.
Below is an optimized crystal structure of GePF2, with properties calculated at the PBE level.

Structure (extended XYZ):
```
4
Lattice="-7.253 4.244 2.397 -6.924 2.627 4.639 -5.565 5.050 4.459" Properties=species:S:1:pos:R:3 pbc="T T T"
P 0.000 0.000 0.000
Ge -9.871 5.961 5.748
F -18.417 11.122 10.724
F -1.325 0.800 0.771
```

Summary:
M_tot: 0.0000 μB/atom
uncorrected energy: -17.86 eV for the cell shown
space group: R-3m (166)
density of states at the Fermi level: 1.3 states/eV/f.u.
energy above the lowest structure with this stoichiometry: 0.000 eV/atom
E_form (uncorrected): -1.023 eV/atom

=====

7.
Below is an optimized crystal structure of ScMn2I, with properties calculated at the PBE level.

Structure (extended XYZ):
```
4
Lattice="3.527 -2.454 -0.852 -0.484 -4.167 -1.261 0.917 -1.161 -4.123" Properties=species:S:1:pos:R:3 pbc="T T T"
I 1.980 -3.891 -3.118
Sc 0.000 0.000 0.000
Mn 0.990 -1.945 -1.559
Mn 2.970 -5.836 -4.677
```

Summary:
M_tot: 0.0000 μB/atom
uncorrected energy: -23.81 eV for the cell shown
space group: Fm-3m (225)
density of states at the Fermi level: 2.7 states/eV/f.u.
energy above the lowest structure with this stoichiometry: 0.082 eV/atom
E_form (uncorrected): 0.603 eV/atom

=====

8.
Below is an optimized crystal structure of Y2TmAu, with properties calculated at the PBE level.

Structure (extended XYZ):
```
16
Lattice="6.675 0.000 0.000 0.000 6.941 0.000 0.000 0.000 9.705" Properties=species:S:1:pos:R:3 pbc="T T T"
Y 1.315 4.852 0.531
Y 2.022 1.381 4.322
Y 5.360 2.089 5.383
Y 4.652 5.560 9.174
Y 5.360 2.089 9.174
Y 4.652 5.560 5.383
Y 1.315 4.852 4.322
Y 2.022 1.381 0.531
Tm 4.114 3.590 2.426
Tm 5.898 0.120 2.426
Tm 2.561 3.351 7.279
Tm 0.777 6.822 7.279
Au 0.205 2.883 2.426
Au 3.133 6.353 2.426
Au 6.470 4.058 7.279
Au 3.542 0.588 7.279
```

Summary:
M_tot: 0.0000 μB/atom
uncorrected energy: -90.10 eV for the cell shown
space group: Pnma (62)
density of states at the Fermi level: 3.4 states/eV/f.u.
energy of formation from the pure elements: -0.462 eV/atom
energy above the lowest structure with this stoichiometry: 0.000 eV/atom

=====

9.
Below is an optimized crystal structure of NaTaO3, with properties calculated at the PBE level.

Structure (extended XYZ):
```
20
Lattice="-7.129 9.508 -2.626 -6.363 0.506 -3.629 -1.440 -6.509 3.080" Properties=species:S:1:pos:R:3 pbc="T T T"
Na -4.642 -0.398 -0.723
Na -9.086 -2.666 -1.306
Na -10.290 3.904 -2.453
Na -5.846 6.172 -1.869
O -6.274 1.336 -1.197
O -7.869 -4.720 -0.861
O -8.657 2.170 -1.978
O -7.063 8.226 -2.315
O -2.323 -0.489 -0.526
O -8.570 -0.395 -1.304
O -12.609 3.995 -2.650
O -6.362 3.900 -1.872
O -11.334 0.527 -2.111
O -9.334 6.062 -2.531
O -3.598 2.979 -1.065
O -5.598 -2.557 -0.645
Ta -7.316 2.915 -0.517
Ta -7.616 0.590 -2.658
Ta -8.749 7.215 -3.799
Ta -6.183 -3.709 0.624
```

Summary:
M_tot: 0.0000 μB/atom
uncorrected energy: -163.11 eV for the cell shown
space group: C2/c (15)
density of states at the Fermi level: 0.0 states/eV/f.u.
E_form (uncorrected): -2.546 eV/atom

=====

10.
Below is an optimized crystal structure of MnSb2Cl8, with properties calculated at the PBE level.

Structure (extended XYZ):
```
11
Lattice="-0.824 -0.198 -3.577 -2.749 -9.065 1.135 -8.561 2.779 3.709" Properties=species:S:1:pos:R:3 pbc="T T T"
Mn -0.412 -0.099 -1.789
Sb -4.717 -5.898 1.413
Sb -7.418 -0.586 -0.147
Cl -3.725 -4.708 -0.770
Cl -6.676 1.641 1.448
Cl -5.224 -1.365 1.279
Cl -11.624 -4.843 1.057
Cl -6.910 -5.119 -0.014
Cl -5.459 -8.126 -0.182
Cl -8.410 -1.776 2.036
Cl -0.511 -1.641 0.208
```

Summary:
M_tot: 0.4545 μB/atom
uncorrected energy: -41.59 eV for the cell shown
space group: C2/m (12)
density of states at the Fermi level: 0.0 states/eV/f.u.
energy above the lowest structure with this stoichiometry: 0.014 eV/atom
E_form (uncorrected): -0.855 eV/atom

=====

11.
Below is an optimized crystal structure of InCo2As, with properties calculated at the PBE level.

Structure (extended XYZ):
```
4
Lattice="-1.888 7.508 2.770 -3.141 7.599 -0.010 -4.676 6.355 2.315" Properties=species:S:1:pos:R:3 pbc="T T T"
As -7.109 15.721 3.718
Co -9.698 21.448 5.072
Co -2.527 5.589 1.322
In -4.927 10.896 2.577
```

Summary:
M_tot: 0.7527 μB/atom
uncorrected energy: -20.30 eV for the cell shown
space group: R3m (160)
density of states at the Fermi level: 6.2 states/eV/f.u.
energy of formation from the pure elements: 0.326 eV/atom
energy above the lowest structure with this stoichiometry: 0.298 eV/atom

=====

12.
Below is an optimized crystal structure of Zn2Cd5Ag6, with properties calculated at the PBE level.

Structure (extended XYZ):
```
26
Lattice="2.987 0.000 0.000 0.000 9.515 0.000 0.000 0.000 17.331" Properties=species:S:1:pos:R:3 pbc="T T T"
Zn 0.000 3.648 4.949
Zn 0.000 5.867 12.382
Zn 0.000 8.405 3.717
Zn 0.000 1.109 13.614
Cd 1.493 4.072 7.383
Cd 1.493 5.442 9.949
Cd 1.493 8.829 1.283
Cd 1.493 0.685 16.048
Cd 1.493 6.105 4.844
Cd 1.493 3.409 12.487
Cd 1.493 1.348 3.821
Cd 1.493 8.167 13.510
Cd 1.493 4.757 0.000
Cd 1.493 0.000 8.666
Ag 0.000 1.609 6.696
Ag 0.000 7.906 10.635
Ag 0.000 6.366 1.969
Ag 0.000 3.149 15.362
Ag 1.493 3.968 2.699
Ag 1.493 5.547 14.632
Ag 1.493 8.725 5.966
Ag 1.493 0.790 11.365
Ag 0.000 6.767 7.635
Ag 0.000 2.747 9.696
Ag 0.000 2.010 1.031
Ag 0.000 7.505 16.300
```

Summary:
M_tot: 0.0000 μB/atom
uncorrected energy: -48.48 eV for the cell shown
space group: Pbam (55)
density of states at the Fermi level: 4.5 states/eV/f.u.
energy of formation from the pure elements: -0.001 eV/atom